[1]
First-principles (PBE) data for crystalline YFe2Pd2 at its relaxed geometry, as listed in Alexandria.

The structure in CIF format:
```
data_YFe2Pd2
_space_group_name_H-M_alt 'P 1'
_space_group_IT_number 1
_space_group_name_Hall 'P 1'
_cell_length_a 7.5174
_cell_length_b 7.5174
_cell_length_c 2.9206
_cell_angle_alpha 90.00
_cell_angle_beta 90.00
_cell_angle_gamma 90.00
loop_
_atom_site_label
_atom_site_fract_x
_atom_site_fract_y
_atom_site_fract_z
Pd1 0.3189 0.1811 0.5000
Pd2 0.1811 0.6811 0.5000
Pd3 0.6811 0.8189 0.5000
Pd4 0.8189 0.3189 0.5000
Fe1 0.8894 0.6106 0.0000
Fe2 0.6106 0.1106 0.0000
Fe3 0.1106 0.3894 0.0000
Fe4 0.3894 0.8894 0.0000
Y1 0.0000 0.0000 0.0000
Y2 0.5000 0.5000 0.0000
```

Computed properties:
Density of states at the Fermi level   11.3 states/eV per cell
E_tot   -68.730 eV for the cell shown
Total magnetization   1.161 μB/atom

---

[2]
First-principles (PBE) data for crystalline YFe3Pd at its relaxed geometry, as listed in Alexandria.

The structure in CIF format:
```
data_YFe3Pd
_space_group_name_H-M_alt 'P 1'
_space_group_IT_number 1
_space_group_name_Hall 'P 1'
_cell_length_a 4.6706
_cell_length_b 4.6706
_cell_length_c 4.6706
_cell_angle_alpha 90.00
_cell_angle_beta 90.00
_cell_angle_gamma 90.00
loop_
_atom_site_label
_atom_site_fract_x
_atom_site_fract_y
_atom_site_fract_z
Fe1 0.5000 0.0000 0.0000
Fe2 0.0000 0.0000 0.5000
Fe3 0.0000 0.5000 0.0000
Pd1 0.0000 0.0000 0.0000
Y1 0.5000 0.5000 0.5000
```

Computed properties:
Density of states at the Fermi level   8.1 states/eV per cell
E_tot   -33.439 eV for the cell shown
Total magnetization   1.703 μB/atom

---

[3]
First-principles (PBE) data for crystalline YFePd2 at its relaxed geometry, as listed in Alexandria.

The structure in CIF format:
```
data_YFePd2
_space_group_name_H-M_alt 'P 1'
_space_group_IT_number 1
_space_group_name_Hall 'P 1'
_cell_length_a 4.6663
_cell_length_b 4.6663
_cell_length_c 4.6663
_cell_angle_alpha 60.00
_cell_angle_beta 60.00
_cell_angle_gamma 60.00
loop_
_atom_site_label
_atom_site_fract_x
_atom_site_fract_y
_atom_site_fract_z
Fe1 0.0000 0.0000 0.0000
Pd1 0.2500 0.2500 0.2500
Pd2 0.7500 0.7500 0.7500
Y1 0.5000 0.5000 0.5000
```

Computed properties:
Density of states at the Fermi level   6.2 states/eV per cell
E_tot   -26.633 eV for the cell shown
Total magnetization   0.803 μB/atom

---

[4]
First-principles (PBE) data for crystalline YFe2Pd2 at its relaxed geometry, as listed in Alexandria.

The structure in CIF format:
```
data_YFe2Pd2
_space_group_name_H-M_alt 'P 1'
_space_group_IT_number 1
_space_group_name_Hall 'P 1'
_cell_length_a 3.6649
_cell_length_b 3.6649
_cell_length_c 7.0230
_cell_angle_alpha 74.88
_cell_angle_beta 74.88
_cell_angle_gamma 90.00
loop_
_atom_site_label
_atom_site_fract_x
_atom_site_fract_y
_atom_site_fract_z
Pd1 0.3938 0.3938 0.2124
Pd2 0.6062 0.6062 0.7876
Fe1 0.2500 0.7500 0.5000
Fe2 0.7500 0.2500 0.5000
Y1 0.0000 0.0000 0.0000
```

Computed properties:
Density of states at the Fermi level   4.4 states/eV per cell
E_tot   -34.803 eV for the cell shown
Total magnetization   1.196 μB/atom

---

[5]
First-principles (PBE) data for crystalline Y2FePd at its relaxed geometry, as listed in Alexandria.

The structure in CIF format:
```
data_Y2FePd
_space_group_name_H-M_alt 'P 1'
_space_group_IT_number 1
_space_group_name_Hall 'P 1'
_cell_length_a 7.4493
_cell_length_b 7.4493
_cell_length_c 6.1431
_cell_angle_alpha 52.68
_cell_angle_beta 52.68
_cell_angle_gamma 90.00
loop_
_atom_site_label
_atom_site_fract_x
_atom_site_fract_y
_atom_site_fract_z
Pd1 0.7500 0.2500 0.5000
Pd2 0.0000 0.0000 0.0000
Y1 0.1337 0.6250 0.2500
Y2 0.8750 0.8663 0.7500
Y3 0.6163 0.1250 0.2500
Y4 0.3750 0.3837 0.7500
Fe1 0.5000 0.5000 0.0000
Fe2 0.2500 0.7500 0.5000
```

Computed properties:
Density of states at the Fermi level   13.1 states/eV per cell
E_tot   -52.585 eV for the cell shown
Total magnetization   0.273 μB/atom

---

[6]
First-principles (PBE) data for crystalline Y2FePd at its relaxed geometry, as listed in Alexandria.

The structure in CIF format:
```
data_Y2FePd
_space_group_name_H-M_alt 'P 1'
_space_group_IT_number 1
_space_group_name_Hall 'P 1'
_cell_length_a 3.4552
_cell_length_b 3.4552
_cell_length_c 6.9201
_cell_angle_alpha 90.00
_cell_angle_beta 90.00
_cell_angle_gamma 90.00
loop_
_atom_site_label
_atom_site_fract_x
_atom_site_fract_y
_atom_site_fract_z
Y1 0.0000 0.0000 0.2406
Y2 0.0000 0.0000 0.7594
Pd1 0.5000 0.5000 0.5000
Fe1 0.5000 0.5000 0.0000
```

Computed properties:
Density of states at the Fermi level   4.2 states/eV per cell
E_tot   -28.047 eV for the cell shown
Total magnetization   0.285 μB/atom

---

[7]
First-principles (PBE) data for crystalline Zn2FePd6 at its relaxed geometry, as listed in Alexandria.

The structure in CIF format:
```
data_Zn2FePd6
_space_group_name_H-M_alt 'P 1'
_space_group_IT_number 1
_space_group_name_Hall 'P 1'
_cell_length_a 4.1019
_cell_length_b 8.0388
_cell_length_c 8.0389
_cell_angle_alpha 90.00
_cell_angle_beta 90.00
_cell_angle_gamma 90.00
loop_
_atom_site_label
_atom_site_fract_x
_atom_site_fract_y
_atom_site_fract_z
Zn1 0.0001 0.6927 0.1927
Zn2 0.9999 0.3073 0.8073
Zn3 0.5001 0.8073 0.6927
Zn4 0.4999 0.1927 0.3073
Pd1 0.0000 0.9788 0.8239
Pd2 0.5000 0.8239 0.0212
Pd3 0.5000 0.8652 0.3652
Pd4 0.0000 0.6761 0.5212
Pd5 0.0000 0.0212 0.1761
Pd6 0.5000 0.5212 0.3239
Pd7 0.0000 0.3239 0.4788
Pd8 0.0000 0.3652 0.1348
Pd9 0.5000 0.4788 0.6761
Pd10 0.5000 0.1348 0.6348
Pd11 0.5000 0.1761 0.9788
Pd12 0.0000 0.6348 0.8652
Fe1 0.5000 0.5000 0.0000
Fe2 0.0000 0.0000 0.5000
```

Computed properties:
Density of states at the Fermi level   9.0 states/eV per cell
E_tot   -90.002 eV for the cell shown
Total magnetization   0.437 μB/atom

---

[8]
First-principles (PBE) data for crystalline Zn3FePd4 at its relaxed geometry, as listed in Alexandria.

The structure in CIF format:
```
data_Zn3FePd4
_space_group_name_H-M_alt 'P 1'
_space_group_IT_number 1
_space_group_name_Hall 'P 1'
_cell_length_a 2.8671
_cell_length_b 2.8671
_cell_length_c 13.9395
_cell_angle_alpha 90.00
_cell_angle_beta 90.00
_cell_angle_gamma 90.00
loop_
_atom_site_label
_atom_site_fract_x
_atom_site_fract_y
_atom_site_fract_z
Pd1 0.0000 0.0000 0.1252
Pd2 0.0000 0.0000 0.3752
Pd3 0.0000 0.0000 0.6248
Pd4 0.0000 0.0000 0.8748
Zn1 0.5000 0.5000 0.2499
Zn2 0.5000 0.5000 0.7501
Zn3 0.5000 0.5000 0.5000
Fe1 0.5000 0.5000 0.0000
```

Computed properties:
Density of states at the Fermi level   4.5 states/eV per cell
E_tot   -36.412 eV for the cell shown
Total magnetization   0.415 μB/atom

---

Please write out number 1 again, unchanged.
First-principles (PBE) data for crystalline YFe2Pd2 at its relaxed geometry, as listed in Alexandria.

The structure in CIF format:
```
data_YFe2Pd2
_space_group_name_H-M_alt 'P 1'
_space_group_IT_number 1
_space_group_name_Hall 'P 1'
_cell_length_a 7.5174
_cell_length_b 7.5174
_cell_length_c 2.9206
_cell_angle_alpha 90.00
_cell_angle_beta 90.00
_cell_angle_gamma 90.00
loop_
_atom_site_label
_atom_site_fract_x
_atom_site_fract_y
_atom_site_fract_z
Pd1 0.3189 0.1811 0.5000
Pd2 0.1811 0.6811 0.5000
Pd3 0.6811 0.8189 0.5000
Pd4 0.8189 0.3189 0.5000
Fe1 0.8894 0.6106 0.0000
Fe2 0.6106 0.1106 0.0000
Fe3 0.1106 0.3894 0.0000
Fe4 0.3894 0.8894 0.0000
Y1 0.0000 0.0000 0.0000
Y2 0.5000 0.5000 0.0000
```

Computed properties:
Density of states at the Fermi level   11.3 states/eV per cell
E_tot   -68.730 eV for the cell shown
Total magnetization   1.161 μB/atom